Record 1
# PBE CaFe2H, relaxed
data_CaFe2H
_symmetry_space_group_name_H-M 'F m -3 m'
_symmetry_Int_Tables_number 225
_symmetry_space_group_name_Hall '-F 4 2 3'
_cell_length_a 6.104
_cell_length_b 6.104
_cell_length_c 6.104
_cell_angle_alpha 90.00
_cell_angle_beta 90.00
_cell_angle_gamma 90.00
loop_
_atom_site_label
_atom_site_fract_x
_atom_site_fract_y
_atom_site_fract_z
Ca1 0.000 0.000 0.000
Fe1 0.250 0.250 0.250
H1 0.000 0.000 0.500
# **Total DFT energy (no corrections)**: -4.249 eV/atom
# **M_tot**: 18.16 μB/cell
# **Distance to the lowest polymorph of the same formula**: 1.201 eV/atom
# **N(E_F)**: 1.06 states/eV/atom



Record 2
# PBE TbSmDy2Sc, relaxed
data_TbSmDy2Sc
_symmetry_space_group_name_H-M 'C m c m'
_symmetry_Int_Tables_number 63
_symmetry_space_group_name_Hall '-C 2c 2'
_cell_length_a 8.196
_cell_length_b 11.255
_cell_length_c 7.077
_cell_angle_alpha 90.00
_cell_angle_beta 90.00
_cell_angle_gamma 90.00
loop_
_atom_site_label
_atom_site_fract_x
_atom_site_fract_y
_atom_site_fract_z
Tb1 0.000 0.234 0.250
Sm1 0.000 0.231 0.750
Dy1 0.197 0.000 0.000
Sc1 0.000 0.496 0.750
# **Formation energy**: 0.338 eV per atom
# **Total DFT energy (no corrections)**: -4.639 eV/atom
# **M_tot**: 0.00 μB/cell
# **N(E_F)**: 1.24 states/eV/atom



- Which value of N(E_F) does entry 2 give?
  1.24 states/eV/atom



- Number 2 is which compound?
  TbSmDy2Sc



Copy entry 2 word for word.
# PBE TbSmDy2Sc, relaxed
data_TbSmDy2Sc
_symmetry_space_group_name_H-M 'C m c m'
_symmetry_Int_Tables_number 63
_symmetry_space_group_name_Hall '-C 2c 2'
_cell_length_a 8.196
_cell_length_b 11.255
_cell_length_c 7.077
_cell_angle_alpha 90.00
_cell_angle_beta 90.00
_cell_angle_gamma 90.00
loop_
_atom_site_label
_atom_site_fract_x
_atom_site_fract_y
_atom_site_fract_z
Tb1 0.000 0.234 0.250
Sm1 0.000 0.231 0.750
Dy1 0.197 0.000 0.000
Sc1 0.000 0.496 0.750
# **Formation energy**: 0.338 eV per atom
# **Total DFT energy (no corrections)**: -4.639 eV/atom
# **M_tot**: 0.00 μB/cell
# **N(E_F)**: 1.24 states/eV/atom